(1)
Computed, not measured: Np2Ge3Ir5 after structural relaxation at the GGA-PBE level of DFT.

Lattice parameters (Å, degrees): 12.7203 12.7203 6.9265 90.00 90.00 161.70
Fractional coordinates of all 20 atoms:
Np (0.0122, 0.9878, 0.5000)
Np (0.3341, 0.6659, 0.4339)
Np (0.6659, 0.3341, 0.9339)
Np (0.9878, 0.0122, 0.0000)
Ge (0.1114, 0.8886, 0.2520)
Ge (0.2604, 0.7396, 0.9375)
Ge (0.4455, 0.5545, 0.3115)
Ge (0.5545, 0.4455, 0.8115)
Ge (0.7396, 0.2604, 0.4375)
Ge (0.8886, 0.1114, 0.7520)
Ir (0.1038, 0.8962, 0.7035)
Ir (0.2090, 0.7910, 0.2352)
Ir (0.2089, 0.7911, 0.6424)
Ir (0.3574, 0.6426, 0.9555)
Ir (0.4540, 0.5460, 0.7035)
Ir (0.5460, 0.4540, 0.2035)
Ir (0.6426, 0.3574, 0.4555)
Ir (0.7911, 0.2089, 0.1424)
Ir (0.7910, 0.2090, 0.7352)
Ir (0.8962, 0.1038, 0.2035)

Values from the calculation:
The formation energy is -328 meV/atom. For the relative energy among the computed polymorphs, the calculation gives 0.98 kcal/mol of atoms.

---

(2)
Computed, not measured: AgPb5S6 after structural relaxation at the GGA-PBE level of DFT.

Lattice parameters (Å, degrees): 7.1931 7.1931 7.1982 99.75 99.75 119.83
Fractional coordinates of all 12 atoms:
Ag (0.0000, 0.0000, 0.0000)
Pb (0.1665, 0.8335, 0.5000)
Pb (0.3332, 0.6668, 0.0000)
Pb (0.5000, 0.5000, 0.5000)
Pb (0.6668, 0.3332, 0.0000)
Pb (0.8335, 0.1665, 0.5000)
S (0.0804, 0.4033, 0.2425)
S (0.2435, 0.2435, 0.7541)
S (0.4033, 0.0804, 0.2425)
S (0.5967, 0.9196, 0.7575)
S (0.7565, 0.7565, 0.2459)
S (0.9196, 0.5967, 0.7575)

---

(3)
Computed, not measured: Na2PuCl8 after structural relaxation at the GGA-PBE level of DFT.

Lattice parameters (Å, degrees): 8.2209 8.2209 5.6079 101.18 101.18 86.99
Fractional coordinates of all 11 atoms:
Na (0.2032, 0.2032, 0.1116)
Na (0.7968, 0.7968, 0.8884)
Pu (0.5000, 0.5000, 0.0000)
Cl (0.0008, 0.0008, 0.2581)
Cl (0.2459, 0.5627, 0.1939)
Cl (0.3101, 0.3101, 0.6584)
Cl (0.4373, 0.7541, 0.8061)
Cl (0.5627, 0.2459, 0.1939)
Cl (0.6899, 0.6899, 0.3416)
Cl (0.7541, 0.4373, 0.8061)
Cl (0.9992, 0.9992, 0.7419)

Values from the calculation:
For the relative energy among the computed polymorphs, the calculation gives 0.00 kcal/mol of atoms.

---

(4)
Computed, not measured: Pm2MgCd4 after structural relaxation at the GGA-PBE level of DFT.

Lattice parameters (Å, degrees): 8.8683 8.8683 8.8683 146.82 146.82 47.63
Fractional coordinates of all 7 atoms:
Pm (0.1302, 0.1302, 0.0000)
Pm (0.8698, 0.8698, 0.0000)
Mg (0.5000, 0.5000, 0.0000)
Cd (0.0000, 0.5000, 0.5000)
Cd (0.3245, 0.3245, 0.0000)
Cd (0.5000, 0.0000, 0.5000)
Cd (0.6755, 0.6755, 0.0000)

Values from the calculation:
The formation energy is 107 meV/atom. For the relative energy among the computed polymorphs, the calculation gives 5.92 kcal/mol of atoms.

---

(5)
Computed, not measured: ZrMnIn2Co after structural relaxation at the GGA-PBE level of DFT.

Lattice parameters (Å, degrees): 4.9491 4.9491 4.5860 90.00 90.00 90.00
Fractional coordinates of all 5 atoms:
Zr (0.0000, 0.0000, 0.0000)
Mn (0.0000, 0.0000, 0.5000)
In (0.0000, 0.5000, 0.5000)
In (0.5000, 0.0000, 0.5000)
Co (0.5000, 0.5000, 0.0000)

Values from the calculation:
The formation energy is 713 meV/atom.

---

(6)
Computed, not measured: In2NiW after structural relaxation at the GGA-PBE level of DFT.

Lattice parameters (Å, degrees): 9.4334 9.4334 9.4334 18.35 18.35 18.35
Fractional coordinates of all 4 atoms:
In (0.0000, 0.0000, 0.0000)
In (0.2344, 0.2344, 0.2344)
Ni (0.7444, 0.7444, 0.7444)
W (0.4797, 0.4797, 0.4797)

Values from the calculation:
The formation energy is 373 meV/atom. For the relative energy among the computed polymorphs, the calculation gives 2.01 kcal/mol of atoms.

---

(7)
Computed, not measured: CrTcSbMo after structural relaxation at the GGA-PBE level of DFT.

Lattice parameters (Å, degrees): 4.4627 4.4627 4.4627 60.00 60.00 60.00
Fractional coordinates of all 4 atoms:
Cr (0.0000, 0.0000, 0.0000)
Tc (0.7500, 0.7500, 0.7500)
Sb (0.5000, 0.5000, 0.5000)
Mo (0.2500, 0.2500, 0.2500)

---

(8)
Computed, not measured: K3Cd4Ag2 after structural relaxation at the GGA-PBE level of DFT.

Lattice parameters (Å, degrees): 4.9182 6.7721 9.9369 106.31 90.07 110.83
Fractional coordinates of all 9 atoms:
K (0.0000, 0.0000, 0.0000)
K (0.3817, 0.7603, 0.6284)
K (0.6183, 0.2397, 0.3716)
Cd (0.0923, 0.1835, 0.6335)
Cd (0.2601, 0.5212, 0.9207)
Cd (0.7399, 0.4788, 0.0793)
Cd (0.9077, 0.8165, 0.3665)
Ag (0.3127, 0.6251, 0.2298)
Ag (0.6873, 0.3749, 0.7702)

Values from the calculation:
The formation energy is -73 meV/atom.

---

(9)
Computed, not measured: NdMgH6Rh2 after structural relaxation at the GGA-PBE level of DFT.

Lattice parameters (Å, degrees): 5.8903 5.8903 5.8903 46.17 46.17 46.17
Fractional coordinates of all 10 atoms:
Nd (0.0000, 0.0000, 0.0000)
Mg (0.5000, 0.5000, 0.5000)
H (0.0618, 0.5643, 0.5643)
H (0.4357, 0.4357, 0.9382)
H (0.4357, 0.9382, 0.4357)
H (0.5643, 0.0618, 0.5643)
H (0.5643, 0.5643, 0.0618)
H (0.9382, 0.4357, 0.4357)
Rh (0.2076, 0.2076, 0.2076)
Rh (0.7924, 0.7924, 0.7924)

---

(10)
Computed, not measured: TaSiNi after structural relaxation at the GGA-PBE level of DFT.

Lattice parameters (Å, degrees): 5.0216 5.0216 5.0216 135.72 101.99 94.38
Fractional coordinates of all 6 atoms:
Ta (0.0000, 0.0000, 0.0000)
Ta (0.5972, 0.0972, 0.5000)
Si (0.4208, 0.7059, 0.7150)
Si (0.9909, 0.7059, 0.2850)
Ni (0.1851, 0.3801, 0.8050)
Ni (0.5751, 0.3801, 0.1950)

---

Final energy values (in eV/atom) by entry order: -8.73 -4.25 -4.23 -2.00 -5.35 -5.68 -8.54 -1.48 -4.52 -8.31.
Density of states at the Fermi level values (in states/eV per atom) by entry order: 1.9597 0.5867 1.1347 1.0171 1.4172 0.7221 1.0967 0.2941 0.3204 0.3518.